[1]
Computed, not measured: a crystal of KSrAs2 relaxed with PBEsol at the meta-GGA SCAN level of DFT.

DFT formation energy: -825 meV/atom
SG: Pmmm, No. 47
E above lowest polymorph: 0.000 eV per atom
volume: 29.53 Å³/atom
crystal system: orthorhombic
E: -18.57 eV per atom
magnetization: 0.00 μB/cell

a = 4.0019 Å, b = 4.2498 Å, c = 6.9462 Å
α = 90.00°, β = 90.00°, γ = 90.00°
Last column: nearest neighbours and their distance in Å.
Fractional positions:
1 K 0.0000 0.0000 0.0000  2 Sr 3.47, 8 As 3.69
2 Sr 0.0000 0.0000 0.5000  8 As 3.16, 2 K 3.47
3 As 0.5000 0.5000 0.3242  1 As 2.44
4 As 0.5000 0.5000 0.6758  1 As 2.44

[2]
Computed, not measured: a crystal of CuAgO3 relaxed with PBEsol at the meta-GGA SCAN level of DFT.

SG: Pm-3m, No. 221
volume: 12.03 Å³/atom
crystal system: cubic
E: -12.42 eV per atom
formation energy without anion corrections: 0.635 eV per atom
magnetization: 1.29 μB/cell

a = 3.9178 Å, b = 3.9178 Å, c = 3.9178 Å
α = 90.00°, β = 90.00°, γ = 90.00°
Last column: nearest neighbours and their distance in Å.
Fractional positions:
1 Cu 0.0000 0.0000 0.0000  12 O 2.77
2 Ag 0.5000 0.5000 0.5000  6 O 1.96
3 O 0.0000 0.5000 0.5000  2 Ag 1.96
4 O 0.5000 0.0000 0.5000  2 Ag 1.96
5 O 0.5000 0.5000 0.0000  2 Ag 1.96

Number 1: N(E_F) 1.224 states/eV/f.u.. Number 2: N(E_F) 5.580 states/eV/f.u..